The following is a DFT calculation (GGA+U) of an optimized crystal structure of SrUMn2O6.

Unit cell a=6.1117 b=6.1117 c=4.6213 alpha=90.00 beta=90.00 gamma=90.00
Sites, in units of the cell vectors:
1 Sr 0.0000 0.0000 0.0000
2 U 0.5000 0.5000 0.0966
3 Mn 0.0000 0.5000 0.3349
4 Mn 0.5000 0.0000 0.3349
5 O 0.0000 0.0000 0.5166
6 O 0.2667 0.2667 0.1686
7 O 0.2667 0.7333 0.1686
8 O 0.5000 0.5000 0.6363
9 O 0.7333 0.2667 0.1686
10 O 0.7333 0.7333 0.1686

Calculated volume: 17.26 Å³ per atom
Magnetization: 10.0 μB/cell
DFT total energy: -7.775 eV per atom